[1]
A plane-wave DFT calculation with GGA-PBE was carried out for a geometry-optimized UBr3Cl structure.

abc: 7.3631 7.3631 8.1459
angles: 123.06 123.06 73.86
Closest atoms and distances in Å follow each position.
Fractional coordinates of all 10 atoms:
1 U 0.2441 0.2441 0.1218  2 Cl 2.66-2.93, 3 Br 2.80-2.81
2 U 0.7559 0.7559 0.8782  2 Cl 2.66-2.93, 3 Br 2.80-2.81
3 Br 0.0542 0.4314 0.7977  2 U 2.81-3.11
4 Br 0.4314 0.0542 0.7977  2 U 2.81-3.11
5 Br 0.4368 0.4368 0.6337  2 U 2.80-3.10
6 Br 0.5632 0.5632 0.3663  2 U 2.80-3.10
7 Br 0.5686 0.9458 0.2023  2 U 2.81-3.11
8 Br 0.9458 0.5686 0.2023  2 U 2.81-3.11
9 Cl 0.0591 0.0591 0.2409  2 U 2.66-2.93
10 Cl 0.9409 0.9409 0.7591  2 U 2.66-2.93

Output
N(E_F) (states/eV/atom): 0.9636
Total magnetization (μB/atom): 0.4000
Formation energy from raw total energies (eV per atom): -1.357
Space group: No. 12

[2]
A plane-wave DFT calculation with GGA-PBE was carried out for a geometry-optimized BaNi2Hg2 structure.

abc: 6.3186 6.3186 6.3186
angles: 137.45 137.45 61.75
Closest atoms and distances in Å follow each position.
Fractional coordinates of all 5 atoms:
1 Ba 0.0000 0.0000 0.0000  8 Ni 3.45, 8 Hg 3.55
2 Ni 0.3924 0.3924 0.0000  1 Ni 2.33
3 Ni 0.6076 0.6076 0.0000  1 Ni 2.33
4 Hg 0.2500 0.7500 0.5000  4 Ni 2.76
5 Hg 0.7500 0.2500 0.5000  4 Ni 2.76

Output
N(E_F) (states/eV/atom): 0.6722
Total magnetization (μB/atom): 0.0000
ΔE_f (eV per atom): -0.05
Space group: No. 139